1.
Below is a relaxed Sr2SnBr crystal, with properties calculated at the PBEsol level.

```
Sr2SnBr
1.0
7.9977 0.0000 0.0000
0.0000 7.9977 0.0000
0.0000 0.0000 7.9977
Sr Sn Br
8 4 4
Direct
0.2500 0.2500 0.2500
0.2500 0.2500 0.7500
0.2500 0.7500 0.2500
0.2500 0.7500 0.7500
0.7500 0.2500 0.2500
0.7500 0.2500 0.7500
0.7500 0.7500 0.2500
0.7500 0.7500 0.7500
0.0000 0.0000 0.0000
0.0000 0.5000 0.5000
0.5000 0.0000 0.5000
0.5000 0.5000 0.0000
0.0000 0.0000 0.5000
0.0000 0.5000 0.0000
0.5000 0.0000 0.0000
0.5000 0.5000 0.5000
```

Output
**Space group**: Fm-3m
**Magnetic moment**: 0.01 μB per atom

***

2.
Below is a relaxed Mg2SeF2 crystal, with properties calculated at the PBEsol level.

```
Mg2SeF2
1.0
7.2390 0.0000 0.0000
0.0000 7.2390 0.0000
0.0000 0.0000 3.5514
Mg Se F
4 2 4
Direct
0.1988 0.3012 0.0000
0.3012 0.8012 0.0000
0.6988 0.1988 0.0000
0.8012 0.6988 0.0000
0.0000 0.0000 0.0000
0.5000 0.5000 0.0000
0.1305 0.3695 0.5000
0.3695 0.8695 0.5000
0.6305 0.1305 0.5000
0.8695 0.6305 0.5000
```

Output
**Space group**: P4/mbm
**Magnetic moment**: 0.00 μB per atom

***

3.
Below is a relaxed KBa3Cl crystal, with properties calculated at the PBEsol level.

```
KBa3Cl
1.0
6.3324 0.0000 0.0000
0.0000 6.3324 0.0000
0.0000 0.0000 6.3324
K Ba Cl
1 3 1
Direct
0.0000 0.0000 0.0000
0.0000 0.5000 0.5000
0.5000 0.0000 0.5000
0.5000 0.5000 0.0000
0.5000 0.5000 0.5000
```

Output
**Space group**: Pm-3m
**Magnetic moment**: 0.31 μB per atom

***

Number 1: formation energy from raw total energies -0.945 eV/atom. Number 2: formation energy from raw total energies -2.158 eV/atom. Number 3: formation energy from raw total energies -0.591 eV/atom.